Computed, not measured: a relaxed structure of BaTl2Mo at the PBE level of DFT.

Geometry as POSCAR:
```
BaTl2Mo
1.0
4.204 -2.430 0.000
4.204 2.430 0.000
-2.808 0.000 6.234
Ba Tl Mo
1 2 1
Direct
0.000 0.000 0.000
0.213 0.213 0.639
0.787 0.787 0.361
0.500 0.500 0.500
```

Output
ΔE_f in eV/atom: 0.4392
Calculated total energy in eV/f.u.: -15.730
Total magnetization in μB per atom: 0.65
Energy relative to the lowest polymorph listed for this composition in meV/atom: 16.4

***

Computed, not measured: a relaxed structure of BaTlMo2 at the PBE level of DFT.

Geometry as POSCAR:
```
BaTlMo2
1.0
3.791 0.000 0.000
0.000 3.791 0.000
0.000 0.000 7.373
Ba Tl Mo
1 1 2
Direct
0.000 0.000 0.000
0.000 0.000 0.500
0.500 0.500 0.348
0.500 0.500 0.652
```

Output
ΔE_f in eV/atom: 0.8294
Calculated total energy in eV/f.u.: -22.634
Total magnetization in μB per atom: 0.00
Energy relative to the lowest polymorph listed for this composition in meV/atom: 378.1

***

Computed, not measured: a relaxed structure of BaTlMo2 at the PBE level of DFT.

Geometry as POSCAR:
```
BaTlMo2
1.0
1.754 -2.672 0.000
1.754 2.672 0.000
0.000 0.000 10.222
Ba Tl Mo
1 1 2
Direct
0.000 0.000 0.000
0.500 0.500 0.308
0.000 0.000 0.552
0.500 0.500 0.721
```

Output
ΔE_f in eV/atom: 0.6857
Calculated total energy in eV/f.u.: -23.209
Total magnetization in μB per atom: 0.00
Energy relative to the lowest polymorph listed for this composition in meV/atom: 234.4

***

The following ρ values (in kg/m3) correspond, in order, to the records above: 8372; 8362; 9250.